Record 1
First-principles (GGA-PBE) data for a relaxed LiSm2Tm crystal, as listed in the Alexandria database.

Unit cell a=5.5178 b=5.5178 c=5.5178 alpha=60.00 beta=60.00 gamma=60.00
Element x y z (fractional)
Tm: 0.0000 0.0000 0.0000
Li: 0.5000 0.5000 0.5000
Sm: 0.7500 0.7500 0.7500
Sm: 0.2500 0.2500 0.2500

Computed properties:
Space-group type = No. 225
Crystal system = cubic


Record 2
First-principles (GGA-PBE) data for a relaxed LiSmTm2 crystal, as listed in the Alexandria database.

Unit cell a=3.5915 b=3.5915 c=8.7640 alpha=90.00 beta=90.00 gamma=90.00
Element x y z (fractional)
Tm: 0.0000 0.0000 0.7826
Li: 0.5000 0.5000 0.0000
Tm: 0.0000 0.0000 0.2174
Sm: 0.5000 0.5000 0.5000

Computed properties:
Space-group type = No. 123
Crystal system = tetragonal


Record 3
First-principles (GGA-PBE) data for a relaxed LiSmTm2 crystal, as listed in the Alexandria database.

Unit cell a=3.4913 b=3.4913 c=11.3181 alpha=81.13 beta=81.13 gamma=60.00
Element x y z (fractional)
Li: 0.6665 0.6665 0.0004
Tm: 0.0803 0.0803 0.7592
Tm: 0.2531 0.2531 0.2406
Sm: 0.5001 0.5001 0.4998

Computed properties:
Space-group type = No. 160
Crystal system = trigonal


Record 4
First-principles (GGA-PBE) data for a relaxed LiSm2Tm crystal, as listed in the Alexandria database.

Unit cell a=3.4822 b=3.4822 c=12.4050 alpha=81.93 beta=81.93 gamma=60.00
Element x y z (fractional)
Li: 0.0000 0.0000 0.0000
Sm: 0.0894 0.0894 0.7318
Sm: 0.9106 0.9106 0.2682
Tm: 0.5000 0.5000 0.5000

Computed properties:
Space-group type = No. 166
Crystal system = trigonal


Number 1: E -3.80 eV per atom, size of the total moment 0.0000 μB/atom, polymorph energy (0 for the lowest one) 85.7 meV/atom. Number 2: E -3.82 eV per atom, size of the total moment 0.0000 μB/atom, polymorph energy (0 for the lowest one) 0.0 meV/atom. Number 3: E -3.77 eV per atom, size of the total moment 0.0002 μB/atom, polymorph energy (0 for the lowest one) 45.2 meV/atom. Number 4: E -3.79 eV per atom, size of the total moment 0.0000 μB/atom, polymorph energy (0 for the lowest one) 91.9 meV/atom.